No. 1
This record from Alexandria via LeMat-Bulk describes MnAuNO2 after structural relaxation. The functional is PBE with a Hubbard U.

The calculation puts the final energy at -5.420 eV/atom. The volume comes out at 58.61 Å³/f.u.

Structure (POSCAR):
```
MnAuNO2
1.0
3.876 0.000 0.000
0.000 3.876 0.000
0.000 0.000 3.901
Mn Au N O
1 1 1 2
direct
0.000 0.000 0.000 Mn
0.500 0.500 0.500 Au
0.000 0.000 0.500 N
0.000 0.500 0.000 O
0.500 0.000 0.000 O
```

***

No. 2
This record from Alexandria via LeMat-Bulk describes MnAuN2O after structural relaxation. The functional is PBE with a Hubbard U.

The calculation puts the final energy at -5.121 eV/atom. The volume comes out at 53.67 Å³/f.u.

Structure (POSCAR):
```
MnAuN2O
1.0
3.917 0.000 0.000
0.000 3.917 0.000
0.000 0.000 3.499
Mn Au N O
1 1 2 1
direct
0.000 0.000 0.000 Mn
0.500 0.500 0.500 Au
0.000 0.500 0.000 N
0.500 0.000 0.000 N
0.000 0.000 0.500 O
```

***

No. 3
This record from Alexandria via LeMat-Bulk describes MnAuNO2 after structural relaxation. The functional is PBE with a Hubbard U.

The calculation puts the final energy at -5.101 eV/atom. The volume comes out at 68.41 Å³/f.u.

Structure (POSCAR):
```
MnAuNO2
1.0
4.252 0.000 0.000
0.000 4.252 0.000
0.000 0.000 3.783
Mn Au N O
1 1 1 2
direct
0.000 0.000 0.000 Mn
0.500 0.500 0.500 Au
0.500 0.500 0.000 N
0.000 0.500 0.500 O
0.500 0.000 0.500 O
```